First-principles (PBE with a Hubbard U) data for a geometry-optimized Ba2LiNiO4 structure, as listed in the Alexandria database.

```
Ba2LiNiO4
1.0
0.000 5.698 9.887
2.295 0.000 9.887
2.295 5.698 0.000
Ba Li Ni O
4 2 2 8
direct
0.050 0.050 0.700
0.300 0.300 0.950
0.700 0.700 0.050
0.950 0.950 0.300
0.375 0.375 0.375
0.625 0.625 0.625
0.125 0.125 0.125
0.875 0.875 0.875
0.052 0.301 0.400
0.254 0.600 0.699
0.301 0.052 0.746
0.400 0.746 0.052
0.600 0.254 0.948
0.699 0.948 0.254
0.746 0.400 0.301
0.948 0.699 0.600
```

Calculated total energy = -5.31 eV/atom
Crystal system = orthorhombic